# 1
Material: ZnCoAsBr
Method: DFT, GGA-PBE
State: relaxed Values from VASP.

Quantum ESPRESSO input file:
```
&SYSTEM
  ibrav = 0, nat = 4, ntyp = 4
/
ATOMIC_SPECIES
Zn 65.41 Zn.upf
Co 58.93 Co.upf
As 74.92 As.upf
Br 79.90 Br.upf
CELL_PARAMETERS angstrom
3.204 -1.862 0.000
3.204 1.862 0.000
-2.095 0.000 6.650
ATOMIC_POSITIONS crystal
Zn 0.000 0.000 0.000
Co 0.876 0.876 0.621
As 0.595 0.595 0.783
Br 0.127 0.127 0.372
```



# 2
Material: ZnCoAsBr2
Method: DFT, GGA-PBE
State: relaxed Values from VASP.

Quantum ESPRESSO input file:
```
&SYSTEM
  ibrav = 0, nat = 5, ntyp = 4
/
ATOMIC_SPECIES
Zn 65.41 Zn.upf
Co 58.93 Co.upf
As 74.92 As.upf
Br 79.90 Br.upf
CELL_PARAMETERS angstrom
5.128 0.000 0.000
0.000 5.128 0.000
0.000 0.000 4.986
ATOMIC_POSITIONS crystal
Zn 0.000 0.000 0.000
Co 0.500 0.500 0.500
As 0.000 0.000 0.500
Br 0.000 0.500 0.000
Br 0.500 0.000 0.000
```



# 3
Material: ZrCoAsBr2
Method: DFT, GGA-PBE
State: relaxed Values from VASP.

Quantum ESPRESSO input file:
```
&SYSTEM
  ibrav = 0, nat = 5, ntyp = 4
/
ATOMIC_SPECIES
Zr 91.22 Zr.upf
Co 58.93 Co.upf
As 74.92 As.upf
Br 79.90 Br.upf
CELL_PARAMETERS angstrom
5.238 0.000 0.000
0.000 5.238 0.000
0.000 0.000 5.386
ATOMIC_POSITIONS crystal
Zr 0.000 0.000 0.000
Co 0.500 0.500 0.500
As 0.000 0.000 0.500
Br 0.000 0.500 0.000
Br 0.500 0.000 0.000
```



# 4
Material: ZrCoAs2Br
Method: DFT, GGA-PBE
State: relaxed Values from VASP.

Quantum ESPRESSO input file:
```
&SYSTEM
  ibrav = 0, nat = 5, ntyp = 4
/
ATOMIC_SPECIES
Zr 91.22 Zr.upf
Co 58.93 Co.upf
As 74.92 As.upf
Br 79.90 Br.upf
CELL_PARAMETERS angstrom
4.565 0.000 0.000
0.000 4.565 0.000
0.000 0.000 4.815
ATOMIC_POSITIONS crystal
Zr 0.000 0.000 0.000
Co 0.500 0.500 0.500
As 0.000 0.500 0.500
As 0.500 0.000 0.500
Br 0.500 0.500 0.000
```



# 5
Material: ZrCoAsBr2
Method: DFT, GGA-PBE
State: relaxed Values from VASP.

Quantum ESPRESSO input file:
```
&SYSTEM
  ibrav = 0, nat = 5, ntyp = 4
/
ATOMIC_SPECIES
Zr 91.22 Zr.upf
Co 58.93 Co.upf
As 74.92 As.upf
Br 79.90 Br.upf
CELL_PARAMETERS angstrom
4.675 0.000 0.000
0.000 4.675 0.000
0.000 0.000 4.823
ATOMIC_POSITIONS crystal
Zr 0.000 0.000 0.000
Co 0.500 0.500 0.500
As 0.500 0.500 0.000
Br 0.000 0.500 0.500
Br 0.500 0.000 0.500
```



# 6
Material: ZrCoAs2Br
Method: DFT, GGA-PBE
State: relaxed Values from VASP.

Quantum ESPRESSO input file:
```
&SYSTEM
  ibrav = 0, nat = 5, ntyp = 4
/
ATOMIC_SPECIES
Zr 91.22 Zr.upf
Co 58.93 Co.upf
As 74.92 As.upf
Br 79.90 Br.upf
CELL_PARAMETERS angstrom
5.229 0.000 0.000
0.000 5.229 0.000
0.000 0.000 5.239
ATOMIC_POSITIONS crystal
Zr 0.000 0.000 0.000
Co 0.500 0.500 0.500
As 0.000 0.500 0.000
As 0.500 0.000 0.000
Br 0.000 0.000 0.500
```



Formation energy from raw total energies (meV per atom)
-34; 800; 307; 228; 288; 597
Uncorrected energy (Ry/atom)
-0.27266; -0.18193; -0.32509; -0.37463; -0.32648; -0.34750